Record 1
# Dy2Ga5Pd3 PBE-GGA relaxed
# Spin magnetization: 0.000 μB/atom
# ΔH_f (0 K): -7.63 eV per formula unit
data_Dy2Ga5Pd3
_cell_length_a 10.165
_cell_length_b 12.842
_cell_length_c 5.692
_cell_angle_alpha 90.00
_cell_angle_beta 90.00
_cell_angle_gamma 90.00
_symmetry_space_group_name_H-M 'I b a m'
_symmetry_Int_Tables_number 72
_symmetry_space_group_name_Hall '-I 2 2c'
loop_
_atom_site_label
_atom_site_type_symbol
_atom_site_fract_x
_atom_site_fract_y
_atom_site_fract_z
_atom_site_occupancy
Dy1 Dy 0.224 0.142 0.000 1
Ga1 Ga 0.000 0.000 0.250 1
Ga2 Ga 0.000 0.294 0.250 1
Ga3 Ga 0.172 0.406 0.000 1
Pd1 Pd 0.000 0.500 0.250 1
Pd2 Pd 0.093 0.146 0.500 1

Record 2
# LiLaTmFe PBE-GGA relaxed
# Spin magnetization: 0.204 μB/atom
# ΔH_f (0 K): 0.50 eV per formula unit
data_LiLaTmFe
_cell_length_a 7.032
_cell_length_b 7.032
_cell_length_c 7.032
_cell_angle_alpha 90.00
_cell_angle_beta 90.00
_cell_angle_gamma 90.00
_symmetry_space_group_name_H-M 'F -4 3 m'
_symmetry_Int_Tables_number 216
_symmetry_space_group_name_Hall 'F -4 2 3'
loop_
_atom_site_label
_atom_site_type_symbol
_atom_site_fract_x
_atom_site_fract_y
_atom_site_fract_z
_atom_site_occupancy
Li1 Li 0.000 0.000 0.000 1
La1 La 0.250 0.250 0.250 1
Tm1 Tm 0.250 0.250 0.750 1
Fe1 Fe 0.000 0.000 0.500 1

Record 3
# La4Y3Th PBE-GGA relaxed
# Spin magnetization: 0.000 μB/atom
# ΔH_f (0 K): 2.92 eV per formula unit
data_La4Y3Th
_cell_length_a 12.005
_cell_length_b 13.528
_cell_length_c 3.455
_cell_angle_alpha 90.00
_cell_angle_beta 90.00
_cell_angle_gamma 90.00
_symmetry_space_group_name_H-M 'C m m m'
_symmetry_Int_Tables_number 65
_symmetry_space_group_name_Hall '-C 2 2'
loop_
_atom_site_label
_atom_site_type_symbol
_atom_site_fract_x
_atom_site_fract_y
_atom_site_fract_z
_atom_site_occupancy
La1 La 0.000 0.250 0.000 1
La2 La 0.238 0.000 0.500 1
Y1 Y 0.000 0.500 0.000 1
Y2 Y 0.250 0.250 0.500 1
Th1 Th 0.000 0.000 0.000 1

Record 4
# NdDyAl PBE-GGA relaxed
# Spin magnetization: 0.000 μB/atom
# ΔH_f (0 K): -0.66 eV per formula unit
data_NdDyAl
_cell_length_a 3.491
_cell_length_b 3.491
_cell_length_c 13.748
_cell_angle_alpha 90.00
_cell_angle_beta 90.00
_cell_angle_gamma 90.00
_symmetry_space_group_name_H-M 'I 4 m m'
_symmetry_Int_Tables_number 107
_symmetry_space_group_name_Hall 'I 4 -2'
loop_
_atom_site_label
_atom_site_type_symbol
_atom_site_fract_x
_atom_site_fract_y
_atom_site_fract_z
_atom_site_occupancy
Nd1 Nd 0.000 0.000 0.000 1
Dy1 Dy 0.000 0.000 0.706 1
Al1 Al 0.000 0.000 0.347 1

Record 5
# YScSe3 PBE-GGA relaxed
# Spin magnetization: 0.000 μB/atom
# E_tot: -6.4315 eV per atom
data_YScSe3
_cell_length_a 3.886
_cell_length_b 12.700
_cell_length_c 9.686
_cell_angle_alpha 90.00
_cell_angle_beta 90.00
_cell_angle_gamma 90.00
_symmetry_space_group_name_H-M 'C m c m'
_symmetry_Int_Tables_number 63
_symmetry_space_group_name_Hall '-C 2c 2'
loop_
_atom_site_label
_atom_site_type_symbol
_atom_site_fract_x
_atom_site_fract_y
_atom_site_fract_z
_atom_site_occupancy
Y1 Y 0.000 0.248 0.250 1
Sc1 Sc 0.000 0.500 0.000 1
Se1 Se 0.000 0.143 0.562 1
Se2 Se 0.000 0.415 0.750 1

Record 6
# CsCu3Ir PBE-GGA relaxed
# Spin magnetization: 0.000 μB/atom
# ΔH_f (0 K): 3.71 eV per formula unit
data_CsCu3Ir
_cell_length_a 4.896
_cell_length_b 4.896
_cell_length_c 4.896
_cell_angle_alpha 90.00
_cell_angle_beta 90.00
_cell_angle_gamma 90.00
_symmetry_space_group_name_H-M 'P m -3 m'
_symmetry_Int_Tables_number 221
_symmetry_space_group_name_Hall '-P 4 2 3'
loop_
_atom_site_label
_atom_site_type_symbol
_atom_site_fract_x
_atom_site_fract_y
_atom_site_fract_z
_atom_site_occupancy
Cs1 Cs 0.000 0.000 0.000 1
Cu1 Cu 0.000 0.500 0.500 1
Ir1 Ir 0.500 0.500 0.500 1

Record 7
# LiPd3Au4 PBE-GGA relaxed
# Spin magnetization: 0.000 μB/atom
# ΔH_f (0 K): -1.34 eV per formula unit
data_LiPd3Au4
_cell_length_a 12.774
_cell_length_b 4.732
_cell_length_c 4.725
_cell_angle_alpha 90.00
_cell_angle_beta 111.65
_cell_angle_gamma 90.00
_symmetry_space_group_name_H-M 'C 1 2/m 1'
_symmetry_Int_Tables_number 12
_symmetry_space_group_name_Hall '-C 2y'
loop_
_atom_site_label
_atom_site_type_symbol
_atom_site_fract_x
_atom_site_fract_y
_atom_site_fract_z
_atom_site_occupancy
Li1 Li 0.000 0.000 0.000 1
Pd1 Pd 0.000 0.500 0.500 1
Pd2 Pd 0.121 0.000 0.623 1
Au1 Au 0.120 0.500 0.119 1
Au2 Au 0.248 0.500 0.746 1

Record 8
# Ba3ZrBi PBE-GGA relaxed
# Spin magnetization: 0.983 μB/atom
# ΔH_f (0 K): 2.04 eV per formula unit
data_Ba3ZrBi
_cell_length_a 6.691
_cell_length_b 6.691
_cell_length_c 6.691
_cell_angle_alpha 90.00
_cell_angle_beta 90.00
_cell_angle_gamma 90.00
_symmetry_space_group_name_H-M 'P m -3 m'
_symmetry_Int_Tables_number 221
_symmetry_space_group_name_Hall '-P 4 2 3'
loop_
_atom_site_label
_atom_site_type_symbol
_atom_site_fract_x
_atom_site_fract_y
_atom_site_fract_z
_atom_site_occupancy
Ba1 Ba 0.000 0.000 0.500 1
Zr1 Zr 0.500 0.500 0.500 1
Bi1 Bi 0.000 0.000 0.000 1

Record 9
# PuFe2Tc PBE-GGA relaxed
# Spin magnetization: 0.255 μB/atom
# ΔH_f (0 K): 0.71 eV per formula unit
data_PuFe2Tc
_cell_length_a 3.007
_cell_length_b 3.007
_cell_length_c 6.849
_cell_angle_alpha 90.00
_cell_angle_beta 90.00
_cell_angle_gamma 90.00
_symmetry_space_group_name_H-M 'P 4/m m m'
_symmetry_Int_Tables_number 123
_symmetry_space_group_name_Hall '-P 4 2'
loop_
_atom_site_label
_atom_site_type_symbol
_atom_site_fract_x
_atom_site_fract_y
_atom_site_fract_z
_atom_site_occupancy
Pu1 Pu 0.000 0.000 0.000 1
Fe1 Fe 0.500 0.500 0.292 1
Tc1 Tc 0.000 0.000 0.500 1

Record 10
# NaAc2P PBE-GGA relaxed
# Spin magnetization: 0.080 μB/atom
# ΔH_f (0 K): -0.80 eV per formula unit
data_NaAc2P
_cell_length_a 7.862
_cell_length_b 7.862
_cell_length_c 7.862
_cell_angle_alpha 90.00
_cell_angle_beta 90.00
_cell_angle_gamma 90.00
_symmetry_space_group_name_H-M 'F m -3 m'
_symmetry_Int_Tables_number 225
_symmetry_space_group_name_Hall '-F 4 2 3'
loop_
_atom_site_label
_atom_site_type_symbol
_atom_site_fract_x
_atom_site_fract_y
_atom_site_fract_z
_atom_site_occupancy
Na1 Na 0.000 0.000 0.000 1
Ac1 Ac 0.250 0.250 0.250 1
P1 P 0.000 0.000 0.500 1

Record 11
# SmGdHgRu PBE-GGA relaxed
# Spin magnetization: 1.768 μB/atom
# ΔH_f (0 K): -1.21 eV per formula unit
data_SmGdHgRu
_cell_length_a 7.218
_cell_length_b 7.218
_cell_length_c 7.218
_cell_angle_alpha 90.00
_cell_angle_beta 90.00
_cell_angle_gamma 90.00
_symmetry_space_group_name_H-M 'F -4 3 m'
_symmetry_Int_Tables_number 216
_symmetry_space_group_name_Hall 'F -4 2 3'
loop_
_atom_site_label
_atom_site_type_symbol
_atom_site_fract_x
_atom_site_fract_y
_atom_site_fract_z
_atom_site_occupancy
Sm1 Sm 0.000 0.000 0.000 1
Gd1 Gd 0.000 0.000 0.500 1
Hg1 Hg 0.250 0.250 0.750 1
Ru1 Ru 0.250 0.250 0.250 1

Record 12
# DyHoHfTh PBE-GGA relaxed
# Spin magnetization: 0.000 μB/atom
# ΔH_f (0 K): 0.83 eV per formula unit
data_DyHoHfTh
_cell_length_a 7.716
_cell_length_b 7.716
_cell_length_c 7.716
_cell_angle_alpha 90.00
_cell_angle_beta 90.00
_cell_angle_gamma 90.00
_symmetry_space_group_name_H-M 'F -4 3 m'
_symmetry_Int_Tables_number 216
_symmetry_space_group_name_Hall 'F -4 2 3'
loop_
_atom_site_label
_atom_site_type_symbol
_atom_site_fract_x
_atom_site_fract_y
_atom_site_fract_z
_atom_site_occupancy
Dy1 Dy 0.000 0.000 0.000 1
Ho1 Ho 0.250 0.250 0.250 1
Hf1 Hf 0.250 0.250 0.750 1
Th1 Th 0.000 0.000 0.500 1

Record 13
# NaTmTl4 PBE-GGA relaxed
# Spin magnetization: 0.000 μB/atom
# ΔH_f (0 K): -0.08 eV per formula unit
data_NaTmTl4
_cell_length_a 7.245
_cell_length_b 8.466
_cell_length_c 6.260
_cell_angle_alpha 90.00
_cell_angle_beta 113.84
_cell_angle_gamma 90.00
_symmetry_space_group_name_H-M 'C 1 2/m 1'
_symmetry_Int_Tables_number 12
_symmetry_space_group_name_Hall '-C 2y'
loop_
_atom_site_label
_atom_site_type_symbol
_atom_site_fract_x
_atom_site_fract_y
_atom_site_fract_z
_atom_site_occupancy
Na1 Na 0.000 0.000 0.000 1
Tm1 Tm 0.000 0.500 0.500 1
Tl1 Tl 0.246 0.311 0.246 1

Record 14
# GdZrCoPd PBE-GGA relaxed
# Spin magnetization: 1.934 μB/atom
# ΔH_f (0 K): -1.40 eV per formula unit
data_GdZrCoPd
_cell_length_a 6.739
_cell_length_b 6.739
_cell_length_c 6.739
_cell_angle_alpha 90.00
_cell_angle_beta 90.00
_cell_angle_gamma 90.00
_symmetry_space_group_name_H-M 'F -4 3 m'
_symmetry_Int_Tables_number 216
_symmetry_space_group_name_Hall 'F -4 2 3'
loop_
_atom_site_label
_atom_site_type_symbol
_atom_site_fract_x
_atom_site_fract_y
_atom_site_fract_z
_atom_site_occupancy
Gd1 Gd 0.000 0.000 0.000 1
Zr1 Zr 0.000 0.000 0.500 1
Co1 Co 0.250 0.250 0.250 1
Pd1 Pd 0.250 0.250 0.750 1

Record 15
# Hf2Mg2Hg PBE-GGA relaxed
# Spin magnetization: 0.000 μB/atom
# ΔH_f (0 K): 0.97 eV per formula unit
data_Hf2Mg2Hg
_cell_length_a 6.842
_cell_length_b 6.842
_cell_length_c 4.569
_cell_angle_alpha 90.00
_cell_angle_beta 90.00
_cell_angle_gamma 90.00
_symmetry_space_group_name_H-M 'P 4/m b m'
_symmetry_Int_Tables_number 127
_symmetry_space_group_name_Hall '-P 4 2ab'
loop_
_atom_site_label
_atom_site_type_symbol
_atom_site_fract_x
_atom_site_fract_y
_atom_site_fract_z
_atom_site_occupancy
Hf1 Hf 0.162 0.338 0.000 1
Mg1 Mg 0.138 0.638 0.500 1
Hg1 Hg 0.000 0.000 0.500 1

Record 16
# Cs5Rb2Sn4 PBE-GGA relaxed
# Spin magnetization: 0.000 μB/atom
# ΔH_f (0 K): -0.70 eV per formula unit
data_Cs5Rb2Sn4
_cell_length_a 18.211
_cell_length_b 8.472
_cell_length_c 11.194
_cell_angle_alpha 90.00
_cell_angle_beta 123.54
_cell_angle_gamma 90.00
_symmetry_space_group_name_H-M 'C 1 2/m 1'
_symmetry_Int_Tables_number 12
_symmetry_space_group_name_Hall '-C 2y'
loop_
_atom_site_label
_atom_site_type_symbol
_atom_site_fract_x
_atom_site_fract_y
_atom_site_fract_z
_atom_site_occupancy
Cs1 Cs 0.000 0.000 0.000 1
Cs2 Cs 0.111 0.250 0.397 1
Rb1 Rb 0.233 0.500 0.073 1
Sn1 Sn 0.076 0.500 0.660 1
Sn2 Sn 0.246 0.000 0.257 1

Record 17
# MnAlIn3 PBE-GGA relaxed
# Spin magnetization: 0.320 μB/atom
# ΔH_f (0 K): 2.23 eV per formula unit
data_MnAlIn3
_cell_length_a 5.085
_cell_length_b 5.085
_cell_length_c 5.085
_cell_angle_alpha 90.00
_cell_angle_beta 90.00
_cell_angle_gamma 90.00
_symmetry_space_group_name_H-M 'P m -3 m'
_symmetry_Int_Tables_number 221
_symmetry_space_group_name_Hall '-P 4 2 3'
loop_
_atom_site_label
_atom_site_type_symbol
_atom_site_fract_x
_atom_site_fract_y
_atom_site_fract_z
_atom_site_occupancy
Mn1 Mn 0.000 0.000 0.000 1
Al1 Al 0.500 0.500 0.500 1
In1 In 0.000 0.000 0.500 1

Record 18
# Ac2TiCdO6 PBE-GGA relaxed
# Spin magnetization: 0.000 μB/atom
# E_tot: -7.4763 eV per atom
data_Ac2TiCdO6
_cell_length_a 5.628
_cell_length_b 5.628
_cell_length_c 5.034
_cell_angle_alpha 90.00
_cell_angle_beta 90.00
_cell_angle_gamma 90.00
_symmetry_space_group_name_H-M 'P 4 m m'
_symmetry_Int_Tables_number 99
_symmetry_space_group_name_Hall 'P 4 -2'
loop_
_atom_site_label
_atom_site_type_symbol
_atom_site_fract_x
_atom_site_fract_y
_atom_site_fract_z
_atom_site_occupancy
Ac1 Ac 0.000 0.500 0.000 1
Ti1 Ti 0.000 0.000 0.578 1
Cd1 Cd 0.500 0.500 0.548 1
O1 O 0.000 0.000 0.215 1
O2 O 0.230 0.230 0.705 1
O3 O 0.500 0.500 0.120 1

Record 19
# YGa2RhCl PBE-GGA relaxed
# Spin magnetization: 0.000 μB/atom
# E_tot: -4.0814 eV per atom
data_YGa2RhCl
_cell_length_a 4.809
_cell_length_b 4.809
_cell_length_c 5.007
_cell_angle_alpha 90.00
_cell_angle_beta 90.00
_cell_angle_gamma 90.00
_symmetry_space_group_name_H-M 'P 4/m m m'
_symmetry_Int_Tables_number 123
_symmetry_space_group_name_Hall '-P 4 2'
loop_
_atom_site_label
_atom_site_type_symbol
_atom_site_fract_x
_atom_site_fract_y
_atom_site_fract_z
_atom_site_occupancy
Y1 Y 0.000 0.000 0.000 1
Ga1 Ga 0.000 0.500 0.500 1
Rh1 Rh 0.500 0.500 0.000 1
Cl1 Cl 0.000 0.000 0.500 1

Record 20
# CdPbN2 PBE-GGA relaxed
# Spin magnetization: 0.482 μB/atom
# E_tot: -3.8538 eV per atom
data_CdPbN2
_cell_length_a 6.239
_cell_length_b 6.239
_cell_length_c 6.239
_cell_angle_alpha 90.00
_cell_angle_beta 90.00
_cell_angle_gamma 90.00
_symmetry_space_group_name_H-M 'F m -3 m'
_symmetry_Int_Tables_number 225
_symmetry_space_group_name_Hall '-F 4 2 3'
loop_
_atom_site_label
_atom_site_type_symbol
_atom_site_fract_x
_atom_site_fract_y
_atom_site_fract_z
_atom_site_occupancy
Cd1 Cd 0.000 0.000 0.000 1
Pb1 Pb 0.000 0.000 0.500 1
N1 N 0.250 0.250 0.250 1

Quick rundown of mass density, same order as above: 8.88, 7.08, 6.24, 6.62, 5.15, 7.30, 13.94, 3.95, 12.16, 6.94, 10.76, 10.67, 9.55, 8.98, 9.41, 3.02, 5.38, 7.40, 5.26, 9.51 g/cm³